*a*
{
  "formula": "DyHo2Mn",
  "functional": "PBE",
  "state": "relaxed",
  "lattice_angstrom": [[3.4523, 0.0000, 0.0000], [1.7262, 2.9898, 0.0000], [1.7262, 0.9966, 10.4601]],
  "species": ["Mn", "Ho", "Ho", "Dy"],
  "frac_coords": [[0.0000, 0.0000, 0.0000], [0.2610, 0.2610, 0.2171], [0.7390, 0.7390, 0.7829], [0.5000, 0.5000, 0.5000]]
}

*b*
{
  "formula": "DyHo2Mn",
  "functional": "PBE",
  "state": "relaxed",
  "lattice_angstrom": [[-0.3343, -3.1535, 1.5308], [3.1508, -0.9442, -1.2571], [3.7464, 3.0493, 7.0999]],
  "species": ["Dy", "Ho", "Ho", "Mn"],
  "frac_coords": [[0.5000, 0.5000, 0.5000], [0.0000, 0.0000, 0.2006], [0.0000, 0.0000, 0.7994], [0.5000, 0.5000, 0.0000]]
}

Which structure loses on stability? *a* does.

*a*
{
  "formula": "DyHoMn2",
  "functional": "PBE",
  "state": "relaxed",
  "lattice_angstrom": [[-4.5566, 1.5500, 1.2105], [-3.8915, -1.3221, -2.7818], [-3.3311, -3.2270, 1.7665]],
  "species": ["Mn", "Mn", "Dy", "Ho"],
  "frac_coords": [[0.7500, 0.7500, 0.7500], [0.2500, 0.2500, 0.2500], [0.5000, 0.5000, 0.5000], [0.0000, 0.0000, 0.0000]]
}

*b*
{
  "formula": "DyHoMn2",
  "functional": "PBE",
  "state": "relaxed",
  "lattice_angstrom": [[3.5719, 0.0000, 0.0000], [0.0000, 4.9329, 0.0000], [0.0000, 0.0000, 4.9329]],
  "species": ["Ho", "Mn", "Mn", "Dy"],
  "frac_coords": [[0.5000, 0.5000, 0.5000], [0.0000, 0.5000, 0.0000], [0.0000, 0.0000, 0.5000], [0.5000, 0.0000, 0.0000]]
}

Which structure loses on stability? *b* does.

*a*
{
  "formula": "DyHoN",
  "functional": "PBE",
  "state": "relaxed",
  "lattice_angstrom": [[-5.6254, -1.4660, 1.3428], [-0.4286, -1.2928, -3.2068], [1.1487, -2.0556, 2.5679]],
  "species": ["Ho", "N", "Dy"],
  "frac_coords": [[0.1107, 0.0000, 0.0000], [0.3311, 0.3333, 0.6667], [0.5582, 0.6667, 0.3333]]
}

*b*
{
  "formula": "DyHoN",
  "functional": "PBE",
  "state": "relaxed",
  "lattice_angstrom": [[-2.6035, 2.0025, -0.2364], [-3.3440, -3.9882, 3.0442], [3.6193, 6.1216, 11.9957]],
  "species": ["Ho", "Ho", "Ho", "Ho", "N", "N", "N", "N", "Dy", "Dy", "Dy", "Dy"],
  "frac_coords": [[0.2500, 0.2437, 0.6727], [0.7500, 0.7563, 0.3273], [0.7500, 0.2563, 0.1727], [0.2500, 0.7437, 0.8273], [0.7500, 0.5493, 0.9011], [0.2500, 0.4507, 0.0989], [0.2500, 0.9507, 0.4011], [0.7500, 0.0493, 0.5989], [0.2500, 0.2821, 0.9464], [0.7500, 0.2179, 0.4464], [0.7500, 0.7179, 0.0536], [0.2500, 0.7821, 0.5536]]
}

*c*
{
  "formula": "DyHoN",
  "functional": "PBE",
  "state": "relaxed",
  "lattice_angstrom": [[4.2293, 0.0000, 0.0000], [2.1146, 3.6627, 0.0000], [2.1146, 1.2209, 3.4532]],
  "species": ["N", "Dy", "Ho"],
  "frac_coords": [[0.2500, 0.2500, 0.2500], [0.5000, 0.5000, 0.5000], [0.0000, 0.0000, 0.0000]]
}

Which structure loses on stability? *c* does.

*a*
{
  "formula": "NaDy2Ho",
  "functional": "PBE",
  "state": "relaxed",
  "lattice_angstrom": [[3.4897, 0.0000, 0.0000], [1.7449, 3.0222, 0.0000], [1.7449, 1.0074, 12.6290]],
  "species": ["Dy", "Dy", "Ho", "Na"],
  "frac_coords": [[0.9076, 0.9076, 0.2771], [0.0924, 0.0924, 0.7229], [0.5000, 0.5000, 0.5000], [0.0000, 0.0000, 0.0000]]
}

*b*
{
  "formula": "NaDy2Ho",
  "functional": "PBE",
  "state": "relaxed",
  "lattice_angstrom": [[3.5187, 0.0000, 0.0000], [0.0000, 3.5187, 0.0000], [0.0000, 0.0000, 10.5263]],
  "species": ["Na", "Dy", "Dy", "Ho"],
  "frac_coords": [[0.5000, 0.5000, 0.5000], [0.0000, 0.0000, 0.2296], [0.0000, 0.0000, 0.7704], [0.5000, 0.5000, 0.0000]]
}

Which structure loses on stability? *a* does.

*a*
{
  "formula": "NaDyHo2",
  "functional": "PBE",
  "state": "relaxed",
  "lattice_angstrom": [[-0.3007, -0.2357, -3.5056], [2.7887, -2.1563, -0.0942], [-6.3418, -8.2495, 1.0987]],
  "species": ["Na", "Dy", "Ho", "Ho"],
  "frac_coords": [[0.5000, 0.5000, 0.5000], [0.5000, 0.5000, 0.0000], [0.0000, 0.0000, 0.7707], [0.0000, 0.0000, 0.2293]]
}

*b*
{
  "formula": "NaDyHo2",
  "functional": "PBE",
  "state": "relaxed",
  "lattice_angstrom": [[-1.4736, 2.9059, -1.2351], [0.2345, 0.7667, -3.3909], [-11.1062, -5.1225, -3.7163]],
  "species": ["Na", "Ho", "Ho", "Dy"],
  "frac_coords": [[0.0000, 0.0000, 0.0000], [0.0922, 0.0922, 0.7233], [0.9078, 0.9078, 0.2767], [0.5000, 0.5000, 0.5000]]
}

Which structure loses on stability? *b* does.

*a*
{
  "formula": "Nd4Dy8Ho3",
  "functional": "PBE",
  "state": "relaxed",
  "lattice_angstrom": [[-5.4504, 3.0370, -2.6216], [-1.7251, -3.3382, 8.5077], [5.6923, 6.1334, 4.0594]],
  "species": ["Dy", "Dy", "Dy", "Dy", "Dy", "Dy", "Dy", "Dy", "Nd", "Nd", "Nd", "Nd", "Ho", "Ho", "Ho"],
  "frac_coords": [[0.9970, 0.7288, 0.7288], [0.5000, 0.2557, 0.7443], [0.5206, 0.2670, 0.2670], [0.0000, 0.3615, 0.6385], [0.0030, 0.2712, 0.2712], [0.0000, 0.6385, 0.3615], [0.5000, 0.7443, 0.2557], [0.4794, 0.7330, 0.7330], [0.0000, 0.0000, 0.0000], [0.0000, 0.5000, 0.0000], [0.5000, 0.0000, 0.0000], [0.0000, 0.0000, 0.5000], [0.5000, 0.5000, 0.0000], [0.5000, 0.0000, 0.5000], [0.5000, 0.5000, 0.5000]]
}

*b*
{
  "formula": "Nd4Dy8Ho3",
  "functional": "PBE",
  "state": "relaxed",
  "lattice_angstrom": [[-3.6631, -3.2588, -4.9370], [2.5980, -5.6670, -3.0900], [-5.4147, -9.7971, 5.5813]],
  "species": ["Ho", "Ho", "Ho", "Dy", "Dy", "Dy", "Dy", "Dy", "Dy", "Dy", "Dy", "Nd", "Nd", "Nd", "Nd"],
  "frac_coords": [[0.0000, 0.5000, 0.5000], [0.0000, 0.0000, 0.5000], [0.5000, 0.0000, 0.5000], [0.2469, 0.7496, 0.2539], [0.7496, 0.2469, 0.2539], [0.2504, 0.2504, 0.7461], [0.7531, 0.2504, 0.7461], [0.2504, 0.7531, 0.7461], [0.7496, 0.7496, 0.2539], [0.2447, 0.2447, 0.2660], [0.7553, 0.7553, 0.7340], [0.5000, 0.5000, 0.5000], [0.6635, 0.6635, 0.0094], [0.0000, 0.0000, 0.0000], [0.3365, 0.3365, 0.9906]]
}

Which structure loses on stability? *a* does.